This record from Alexandria via LeMat-Bulk describes crystalline CrAsNF2 at its relaxed geometry. The functional is PBE+U.

Cell: 3.8196 3.8196 4.3774 Å, 90.00 90.00 90.00°
Last column: magnetic moment on the atom in μB.
Element x y z (fractional)
Cr 0.0000 0.0000 0.0000  3.06
As 0.5000 0.5000 0.5000  0.54
N 0.0000 0.0000 0.5000  -0.25
F 0.0000 0.5000 0.0000  0.05
F 0.5000 0.0000 0.0000  0.05

Properties
The value obtained for the size of the total moment is 3.982 μB/cell. Its total energy is -27.3 eV/cell.